Version P
The following is a DFT calculation (PBE) of a geometry-optimized Li2DyMg3 structure.

Lattice parameters (Å, degrees): 5.016 5.016 12.937 90.00 90.00 120.00
Fractional coordinates of all 12 atoms:
Mg 0.667 0.333 0.620
Mg 0.333 0.667 0.120
Mg 0.000 0.000 0.000
Mg 0.667 0.333 0.880
Mg 0.333 0.667 0.380
Mg 0.000 0.000 0.500
Dy 0.000 0.000 0.250
Dy 0.000 0.000 0.750
Li 0.667 0.333 0.115
Li 0.333 0.667 0.615
Li 0.667 0.333 0.385
Li 0.333 0.667 0.885

Computed properties:
The space group is P6_3/mmc (194). As for the crystal system: hexagonal.



Version Q
The following is a DFT calculation (PBE) of a geometry-optimized Li2DyMg3 structure.

Lattice parameters (Å, degrees): 3.482 3.482 11.283 90.00 90.00 90.00
Site moments in Bohr magnetons follow the coordinates.
Fractional coordinates of all 6 atoms:
Mg 0.000 0.000 0.000  0.00
Mg 0.000 0.000 0.299  0.00
Mg 0.000 0.000 0.701  0.00
Dy 0.500 0.500 0.500  0.09
Li 0.500 0.500 0.847  0.00
Li 0.500 0.500 0.153  0.00

Computed properties:
The space group is P4/mmm (123). As for the crystal system: tetragonal.



version Q is favored, and the nearest alternative lies 61 meV per atom above it.